Entry 1:
VASP calculation (PBE) on a geometry-optimized Si3SbTe structure.

Values from the calculation:
The volume comes out at 28.492 Å³ per atom. For the formation energy from raw total energies, the calculation gives 6.0 eV per formula unit. The calculation puts the total energy at -3.498 eV per atom.

Lattice parameters (Å, degrees): 5.223 5.223 5.223 90.00 90.00 90.00
Sites, in units of the cell vectors:
Si: 0.000 0.000 0.500
Si: 0.000 0.500 0.000
Si: 0.500 0.000 0.000
Sb: 0.000 0.000 0.000
Te: 0.500 0.500 0.500

=====

Entry 2:
VASP calculation (PBE) on a geometry-optimized Si2Sb2Te structure.

Values from the calculation:
The volume comes out at 23.963 Å³ per atom. For the formation energy from raw total energies, the calculation gives 1.7 eV per formula unit. The calculation puts the total energy at -4.116 eV per atom.

Lattice parameters (Å, degrees): 8.649 8.649 8.649 154.50 154.50 36.38
Sites, in units of the cell vectors:
Si: 0.250 0.750 0.500
Si: 0.750 0.250 0.500
Sb: 0.115 0.115 0.000
Sb: 0.885 0.885 0.000
Te: 0.500 0.500 0.000

=====

Entry 3:
VASP calculation (PBE) on a geometry-optimized Si2SbTe structure.

Values from the calculation:
The volume comes out at 23.079 Å³ per atom. For the formation energy from raw total energies, the calculation gives 2.4 eV per formula unit. The calculation puts the total energy at -3.929 eV per atom.

Lattice parameters (Å, degrees): 6.349 6.349 6.349 142.95 142.95 53.40
Sites, in units of the cell vectors:
Si: 0.000 0.000 0.000
Si: 0.750 0.250 0.500
Sb: 0.500 0.500 0.000
Te: 0.250 0.750 0.500